# LaTi3Mo, relaxed, DFT PBE
data_LaTi3Mo
_chemical_formula_sum 'La1 Ti3 Mo1'
_space_group_name_H-M_alt 'P 1'
_space_group_IT_number 1
_cell_length_a 4.869
_cell_length_b 4.869
_cell_length_c 4.869
_cell_angle_alpha 90.00
_cell_angle_beta 90.00
_cell_angle_gamma 90.00
loop_
_space_group_symop_operation_xyz
'x,y,z'
loop_
_atom_site_label
_atom_site_fract_x
_atom_site_fract_y
_atom_site_fract_z
Ti1 0.000 0.000 0.500
Ti2 0.500 0.000 0.000
Mo1 0.000 0.000 0.000
La1 0.500 0.500 0.500
Ti3 0.000 0.500 0.000
# V (Å³/f.u.): 115.45
# Energy of formation (meV per atom): 414
# Magnetization (μB per formula unit): 0.0
# Energy above the most stable polymorph in this dataset (meV/atom): 0
# Total DFT energy (no corrections) (eV/cell): -37.4
# Density of states at the Fermi level (states/eV/atom): 1.48



# NdNp5As6, relaxed, DFT PBE
data_NdNp5As6
_chemical_formula_sum 'Nd1 Np5 As6'
_space_group_name_H-M_alt 'P 1'
_space_group_IT_number 1
_cell_length_a 7.170
_cell_length_b 7.153
_cell_length_c 7.157
_cell_angle_alpha 60.02
_cell_angle_beta 80.41
_cell_angle_gamma 70.54
loop_
_space_group_symop_operation_xyz
'x,y,z'
loop_
_atom_site_label
_atom_site_fract_x
_atom_site_fract_y
_atom_site_fract_z
Np1 0.000 0.667 0.665
Np2 0.500 0.836 0.328
Nd1 0.000 0.000 0.000
Np3 0.000 0.333 0.335
As1 0.745 0.085 0.341
As2 0.745 0.426 0.659
As3 0.255 0.915 0.659
As4 0.748 0.743 0.000
Np4 0.500 0.500 0.000
As5 0.255 0.574 0.341
Np5 0.500 0.164 0.672
As6 0.252 0.257 0.000
# V (Å³/f.u.): 299.74
# Energy of formation (meV per atom): -816
# Magnetization (μB per formula unit): 19.3
# Total DFT energy (no corrections) (eV/cell): -107.2
# Density of states at the Fermi level (states/eV/atom): 3.65